The following is a DFT calculation (PBE-GGA) of crystalline CeSeBr at its relaxed geometry.

a b c (Å): 7.135 7.135 7.135
angles (deg): 90.00 90.00 90.00
Space group F-43m (No. 216)
Inequivalent atoms, fractional coordinates:
1 Ce 0.000 0.000 0.000 (multiplicity 4)
2 Se 0.250 0.250 0.250 (multiplicity 4)
3 Br 0.250 0.250 0.750 (multiplicity 4)

Output
Fermi-level density of states   34.78 states/eV/cell
Raw formation energy   -493 kJ/mol of formula units
E   -64.8 eV/cell
V   90.81 Å³/f.u.